1.
Here is a relaxed FeOsPbAu crystal from the Open Quantum Materials Database. Energies are from PBE-GGA.

Values from the calculation:
Offset from the most stable computed form   0 meV/atom

CIF file:
```
data_FeOsPbAu
_space_group_name_H-M_alt 'F -4 3 m'
_space_group_IT_number 216
_space_group_name_Hall 'F -4 2 3'
_cell_length_a 6.492
_cell_length_b 6.492
_cell_length_c 6.492
_cell_angle_alpha 90.00
_cell_angle_beta 90.00
_cell_angle_gamma 90.00
loop_
_atom_site_label
_atom_site_type_symbol
_atom_site_fract_x
_atom_site_fract_y
_atom_site_fract_z
Fe1 Fe 0.000 0.000 0.000
Os1 Os 0.000 0.000 0.500
Pb1 Pb 0.250 0.250 0.750
Au1 Au 0.250 0.250 0.250
```

=====

2.
Here is a relaxed FeSbOsAu crystal from the Open Quantum Materials Database. Energies are from PBE-GGA.

Values from the calculation:
Offset from the most stable computed form   0 meV/atom

CIF file:
```
data_FeSbOsAu
_space_group_name_H-M_alt 'F -4 3 m'
_space_group_IT_number 216
_space_group_name_Hall 'F -4 2 3'
_cell_length_a 6.389
_cell_length_b 6.389
_cell_length_c 6.389
_cell_angle_alpha 90.00
_cell_angle_beta 90.00
_cell_angle_gamma 90.00
loop_
_atom_site_label
_atom_site_type_symbol
_atom_site_fract_x
_atom_site_fract_y
_atom_site_fract_z
Fe1 Fe 0.000 0.000 0.000
Sb1 Sb 0.250 0.250 0.750
Os1 Os 0.000 0.000 0.500
Au1 Au 0.250 0.250 0.250
```

=====

3.
Here is a relaxed FeSiOsAu crystal from the Open Quantum Materials Database. Energies are from PBE-GGA.

Values from the calculation:
Offset from the most stable computed form   0 meV/atom

CIF file:
```
data_FeSiOsAu
_space_group_name_H-M_alt 'F -4 3 m'
_space_group_IT_number 216
_space_group_name_Hall 'F -4 2 3'
_cell_length_a 6.098
_cell_length_b 6.098
_cell_length_c 6.098
_cell_angle_alpha 90.00
_cell_angle_beta 90.00
_cell_angle_gamma 90.00
loop_
_atom_site_label
_atom_site_type_symbol
_atom_site_fract_x
_atom_site_fract_y
_atom_site_fract_z
Fe1 Fe 0.000 0.000 0.000
Si1 Si 0.250 0.250 0.750
Os1 Os 0.000 0.000 0.500
Au1 Au 0.250 0.250 0.250
```